[1]
DFT (PBE) results for a relaxed structure of Ac8LaDy2.

mass density: 8.10 g/cm³
total DFT energy (no corrections): -4.153 eV/atom
Fermi-level density of states: 18.87 states/eV per cell

```
data_Ac8LaDy2
_chemical_formula_sum 'Ac8 La1 Dy2'
_cell_length_a 5.9359
_cell_length_b 9.2392
_cell_length_c 10.1398
_cell_angle_alpha 117.10
_cell_angle_beta 107.02
_cell_angle_gamma 90.00
_symmetry_space_group_name_H-M 'P 1'
_symmetry_Int_Tables_number 1
loop_
_symmetry_equiv_pos_as_xyz
'x,y,z'
loop_
_atom_site_label
_atom_site_type_symbol
_atom_site_fract_x
_atom_site_fract_y
_atom_site_fract_z
Ac1 Ac 0.0000 0.2990 0.0000
Ac2 Ac 0.6459 0.4396 0.2918
Ac3 Ac 0.3541 0.5604 0.7082
Ac4 Ac 0.3541 0.1478 0.7082
Ac5 Ac 0.6459 0.8522 0.2918
Ac6 Ac 0.1584 0.1584 0.3168
Ac7 Ac 0.8416 0.8416 0.6832
Ac8 Ac 0.0000 0.7010 0.0000
Dy1 Dy 0.2005 0.7005 0.4010
Dy2 Dy 0.7995 0.2995 0.5990
La1 La 0.5000 0.0000 0.0000
```



[2]
DFT (PBE) results for a relaxed structure of AcLa3Dy3.

mass density: 7.46 g/cm³
energy relative to the lowest polymorph listed for this composition: 23 meV/atom
total DFT energy (no corrections): -4.603 eV/atom
Fermi-level density of states: 43.65 states/eV per cell

```
data_AcLa3Dy3
_chemical_formula_sum 'Ac4 La12 Dy12'
_cell_length_a 10.3149
_cell_length_b 10.3505
_cell_length_c 16.9993
_cell_angle_alpha 125.61
_cell_angle_beta 121.48
_cell_angle_gamma 96.39
_symmetry_space_group_name_H-M 'P 1'
_symmetry_Int_Tables_number 1
loop_
_symmetry_equiv_pos_as_xyz
'x,y,z'
loop_
_atom_site_label
_atom_site_type_symbol
_atom_site_fract_x
_atom_site_fract_y
_atom_site_fract_z
La1 La 0.2906 0.1621 0.8382
La2 La 0.0881 0.3917 0.9807
La3 La 0.5967 0.6906 0.1545
La4 La 0.7005 0.8395 0.6445
La5 La 0.5953 0.1782 0.6538
La6 La 0.8910 0.5944 0.5068
La7 La 0.1157 0.9885 0.3370
La8 La 0.3524 0.8174 0.8226
La9 La 0.4848 0.5371 0.6582
La10 La 0.9560 0.2444 0.4943
La11 La 0.6893 0.3569 0.1577
La12 La 0.4601 0.9400 0.3226
Dy1 Dy 0.0297 0.3403 0.3464
Dy2 Dy 0.2050 0.6408 0.3272
Dy3 Dy 0.5673 0.0657 0.1913
Dy4 Dy 0.8897 0.1144 0.6265
Dy5 Dy 0.7565 0.4456 0.9985
Dy6 Dy 0.8099 0.4763 0.6457
Dy7 Dy 0.6847 0.8032 0.0242
Dy8 Dy 0.5300 0.5973 0.3046
Dy9 Dy 0.9833 0.8443 0.4474
Dy10 Dy 0.3772 0.8900 0.6536
Dy11 Dy 0.2334 0.5811 0.8810
Dy12 Dy 0.3433 0.3003 0.7138
Ac1 Ac 0.9860 0.7309 0.9852
Ac2 Ac 0.1807 0.0362 0.9664
Ac3 Ac 0.3539 0.2952 0.3236
Ac4 Ac 0.8490 0.0976 0.9936
```



[3]
DFT (PBE) results for a relaxed structure of Ac3La2Dy2.

mass density: 7.85 g/cm³
total DFT energy (no corrections): -4.442 eV/atom
Fermi-level density of states: 11.74 states/eV per cell

```
data_Ac3La2Dy2
_chemical_formula_sum 'Ac3 La2 Dy2'
_cell_length_a 5.7058
_cell_length_b 3.7571
_cell_length_c 12.9828
_cell_angle_alpha 90.00
_cell_angle_beta 77.31
_cell_angle_gamma 90.00
_symmetry_space_group_name_H-M 'P 1'
_symmetry_Int_Tables_number 1
loop_
_symmetry_equiv_pos_as_xyz
'x,y,z'
loop_
_atom_site_label
_atom_site_type_symbol
_atom_site_fract_x
_atom_site_fract_y
_atom_site_fract_z
La1 La 0.4262 0.5000 0.1476
La2 La 0.5738 0.5000 0.8524
Ac1 Ac 0.0000 0.0000 0.0000
Ac2 Ac 0.1549 0.0000 0.6901
Ac3 Ac 0.8451 0.0000 0.3099
Dy1 Dy 0.7152 0.5000 0.5696
Dy2 Dy 0.2848 0.5000 0.4304
```



[4]
DFT (PBE) results for a relaxed structure of AcLaDy2.

mass density: 7.97 g/cm³
energy relative to the lowest polymorph listed for this composition: 20 meV/atom
total DFT energy (no corrections): -4.503 eV/atom
Fermi-level density of states: 6.06 states/eV per cell

```
data_AcLaDy2
_chemical_formula_sum 'Ac1 La1 Dy2'
_cell_length_a 3.7304
_cell_length_b 3.7304
_cell_length_c 12.1424
_cell_angle_alpha 81.15
_cell_angle_beta 81.15
_cell_angle_gamma 59.99
_symmetry_space_group_name_H-M 'P 1'
_symmetry_Int_Tables_number 1
loop_
_symmetry_equiv_pos_as_xyz
'x,y,z'
loop_
_atom_site_label
_atom_site_type_symbol
_atom_site_fract_x
_atom_site_fract_y
_atom_site_fract_z
Dy1 Dy 0.0810 0.0810 0.7577
Dy2 Dy 0.2523 0.2523 0.2432
La1 La 0.6664 0.6664 0.0005
Ac1 Ac 0.5003 0.5003 0.4987
```



[5]
DFT (PBE) results for a relaxed structure of AcLa3Dy3.

mass density: 7.43 g/cm³
energy relative to the lowest polymorph listed for this composition: 0 meV/atom
total DFT energy (no corrections): -4.626 eV/atom
Fermi-level density of states: 25.23 states/eV per cell

```
data_AcLa3Dy3
_chemical_formula_sum 'Ac2 La6 Dy6'
_cell_length_a 5.9422
_cell_length_b 9.9111
_cell_length_c 9.9111
_cell_angle_alpha 120.00
_cell_angle_beta 90.00
_cell_angle_gamma 90.00
_symmetry_space_group_name_H-M 'P 1'
_symmetry_Int_Tables_number 1
loop_
_symmetry_equiv_pos_as_xyz
'x,y,z'
loop_
_atom_site_label
_atom_site_type_symbol
_atom_site_fract_x
_atom_site_fract_y
_atom_site_fract_z
Dy1 Dy 0.7500 0.1841 0.2271
Dy2 Dy 0.2500 0.2271 0.0430
Dy3 Dy 0.7500 0.7729 0.9570
Dy4 Dy 0.7500 0.0430 0.8159
Dy5 Dy 0.2500 0.9570 0.1841
Dy6 Dy 0.2500 0.8159 0.7729
La1 La 0.2500 0.3722 0.4654
La2 La 0.2500 0.5346 0.9068
La3 La 0.7500 0.4654 0.0932
La4 La 0.7500 0.9068 0.3722
La5 La 0.7500 0.6278 0.5346
La6 La 0.2500 0.0932 0.6278
Ac1 Ac 0.2500 0.6667 0.3333
Ac2 Ac 0.7500 0.3333 0.6667
```



[6]
DFT (PBE) results for a relaxed structure of AcLa2Dy7.

mass density: 8.07 g/cm³
total DFT energy (no corrections): -4.582 eV/atom
Fermi-level density of states: 14.29 states/eV per cell

```
data_AcLa2Dy7
_chemical_formula_sum 'Ac1 La2 Dy7'
_cell_length_a 6.2742
_cell_length_b 8.1190
_cell_length_c 11.4997
_cell_angle_alpha 135.18
_cell_angle_beta 57.02
_cell_angle_gamma 121.01
_symmetry_space_group_name_H-M 'P 1'
_symmetry_Int_Tables_number 1
loop_
_symmetry_equiv_pos_as_xyz
'x,y,z'
loop_
_atom_site_label
_atom_site_type_symbol
_atom_site_fract_x
_atom_site_fract_y
_atom_site_fract_z
La1 La 0.5041 0.8996 0.5973
La2 La 0.4959 0.1004 0.4027
Dy1 Dy 0.9994 0.3976 0.5986
Dy2 Dy 0.9990 0.2032 0.8010
Dy3 Dy 0.0006 0.6024 0.4014
Dy4 Dy 0.4983 0.6975 0.8002
Dy5 Dy 0.5017 0.3025 0.1998
Dy6 Dy 0.5000 0.5000 0.0000
Dy7 Dy 0.0010 0.7968 0.1990
Ac1 Ac 0.0000 0.0000 0.0000
```